No. 1
Computed, not measured: an optimized crystal structure of LiCaMg2Hg2 at the GGA-PBE level of DFT.

Computed properties:
The value obtained for the formation energy is -345 meV per atom. The value obtained for the total magnetization is 0.0 μB/f.u.

```
data_LiCaMg2Hg2
_chemical_formula_sum 'Li1 Ca1 Mg2 Hg2'
_symmetry_space_group_name_H-M 'P 1'
_symmetry_Int_Tables_number 1
_cell_length_a 4.9013
_cell_length_b 4.9013
_cell_length_c 6.6880
_cell_angle_alpha 90.00
_cell_angle_beta 90.00
_cell_angle_gamma 120.00
loop_
_symmetry_equiv_pos_as_xyz
'x,y,z'
loop_
_atom_site_label
_atom_site_type_symbol
_atom_site_fract_x
_atom_site_fract_y
_atom_site_fract_z
Li1 Li 0.0000 0.0000 0.0000
Ca1 Ca 0.0000 0.0000 0.5000
Mg1 Mg 0.3333 0.6667 0.1842
Mg2 Mg 0.6667 0.3333 0.8158
Hg1 Hg 0.3333 0.6667 0.7475
Hg2 Hg 0.6667 0.3333 0.2525
```

No. 2
Computed, not measured: an optimized crystal structure of Li2Ca3Mg2Hg4 at the GGA-PBE level of DFT.

Computed properties:
The value obtained for the formation energy is -315 meV per atom. The value obtained for the total magnetization is 0.0 μB/f.u.

```
data_Li2Ca3Mg2Hg4
_chemical_formula_sum 'Li2 Ca3 Mg2 Hg4'
_symmetry_space_group_name_H-M 'P 1'
_symmetry_Int_Tables_number 1
_cell_length_a 4.9439
_cell_length_b 4.9439
_cell_length_c 13.5237
_cell_angle_alpha 90.00
_cell_angle_beta 90.00
_cell_angle_gamma 120.00
loop_
_symmetry_equiv_pos_as_xyz
'x,y,z'
loop_
_atom_site_label
_atom_site_type_symbol
_atom_site_fract_x
_atom_site_fract_y
_atom_site_fract_z
Li1 Li 0.3333 0.6667 0.1424
Li2 Li 0.6667 0.3333 0.8576
Ca1 Ca 0.0000 0.0000 0.0000
Ca2 Ca 0.0000 0.0000 0.2748
Ca3 Ca 0.0000 0.0000 0.7252
Mg1 Mg 0.3333 0.6667 0.5740
Mg2 Mg 0.6667 0.3333 0.4260
Hg1 Hg 0.3333 0.6667 0.3665
Hg2 Hg 0.3333 0.6667 0.8629
Hg3 Hg 0.6667 0.3333 0.1371
Hg4 Hg 0.6667 0.3333 0.6335
```

No. 3
Computed, not measured: an optimized crystal structure of LiCa2MnHg at the GGA-PBE level of DFT.

Computed properties:
The value obtained for the formation energy is 867 meV per atom. The value obtained for the total magnetization is 0.1 μB/f.u.

```
data_LiCa2MnHg
_chemical_formula_sum 'Li1 Ca2 Mn1 Hg1'
_symmetry_space_group_name_H-M 'P 1'
_symmetry_Int_Tables_number 1
_cell_length_a 5.7696
_cell_length_b 5.7696
_cell_length_c 4.7686
_cell_angle_alpha 90.00
_cell_angle_beta 90.00
_cell_angle_gamma 90.00
loop_
_symmetry_equiv_pos_as_xyz
'x,y,z'
loop_
_atom_site_label
_atom_site_type_symbol
_atom_site_fract_x
_atom_site_fract_y
_atom_site_fract_z
Li1 Li 0.0000 0.0000 0.0000
Ca1 Ca 0.0000 0.5000 0.5000
Ca2 Ca 0.5000 0.0000 0.5000
Mn1 Mn 0.5000 0.5000 0.0000
Hg1 Hg 0.0000 0.0000 0.5000
```

No. 4
Computed, not measured: an optimized crystal structure of LiCa2HgN at the GGA-PBE level of DFT.

Computed properties:
For the formation energy from raw total energies, the calculation gives -0.538 eV per atom. The value obtained for the total magnetization is 0.0 μB/f.u.

```
data_LiCa2HgN
_chemical_formula_sum 'Li1 Ca2 Hg1 N1'
_symmetry_space_group_name_H-M 'P 1'
_symmetry_Int_Tables_number 1
_cell_length_a 4.9182
_cell_length_b 4.9182
_cell_length_c 4.2852
_cell_angle_alpha 90.00
_cell_angle_beta 90.00
_cell_angle_gamma 90.00
loop_
_symmetry_equiv_pos_as_xyz
'x,y,z'
loop_
_atom_site_label
_atom_site_type_symbol
_atom_site_fract_x
_atom_site_fract_y
_atom_site_fract_z
Li1 Li 0.0000 0.0000 0.0000
Ca1 Ca 0.0000 0.5000 0.5000
Ca2 Ca 0.5000 0.0000 0.5000
Hg1 Hg 0.5000 0.5000 0.0000
N1 N 0.0000 0.0000 0.5000
```

No. 5
Computed, not measured: an optimized crystal structure of NaLi2CaHg at the GGA-PBE level of DFT.

Computed properties:
The value obtained for the formation energy is -21 meV per atom. The value obtained for the total magnetization is 0.0 μB/f.u.

```
data_NaLi2CaHg
_chemical_formula_sum 'Na1 Li2 Ca1 Hg1'
_symmetry_space_group_name_H-M 'P 1'
_symmetry_Int_Tables_number 1
_cell_length_a 5.2738
_cell_length_b 5.2738
_cell_length_c 5.8673
_cell_angle_alpha 90.00
_cell_angle_beta 90.00
_cell_angle_gamma 90.00
loop_
_symmetry_equiv_pos_as_xyz
'x,y,z'
loop_
_atom_site_label
_atom_site_type_symbol
_atom_site_fract_x
_atom_site_fract_y
_atom_site_fract_z
Na1 Na 0.0000 0.0000 0.0000
Li1 Li 0.0000 0.5000 0.5000
Li2 Li 0.5000 0.0000 0.5000
Ca1 Ca 0.5000 0.5000 0.0000
Hg1 Hg 0.5000 0.5000 0.5000
```

No. 6
Computed, not measured: an optimized crystal structure of LiCaNb2Hg at the GGA-PBE level of DFT.

Computed properties:
The value obtained for the formation energy is 856 meV per atom. The value obtained for the total magnetization is 0.5 μB/f.u.

```
data_LiCaNb2Hg
_chemical_formula_sum 'Li1 Ca1 Nb2 Hg1'
_symmetry_space_group_name_H-M 'P 1'
_symmetry_Int_Tables_number 1
_cell_length_a 4.5944
_cell_length_b 4.5944
_cell_length_c 4.9093
_cell_angle_alpha 90.00
_cell_angle_beta 90.00
_cell_angle_gamma 90.00
loop_
_symmetry_equiv_pos_as_xyz
'x,y,z'
loop_
_atom_site_label
_atom_site_type_symbol
_atom_site_fract_x
_atom_site_fract_y
_atom_site_fract_z
Li1 Li 0.0000 0.0000 0.0000
Ca1 Ca 0.5000 0.5000 0.5000
Nb1 Nb 0.0000 0.5000 0.0000
Nb2 Nb 0.5000 0.0000 0.0000
Hg1 Hg 0.0000 0.0000 0.5000
```

No. 7
Computed, not measured: an optimized crystal structure of Li2CaNdHg4 at the GGA-PBE level of DFT.

Computed properties:
The value obtained for the formation energy is -434 meV per atom. The value obtained for the total magnetization is 0.0 μB/f.u.

```
data_Li2CaNdHg4
_chemical_formula_sum 'Li2 Ca1 Nd1 Hg4'
_symmetry_space_group_name_H-M 'P 1'
_symmetry_Int_Tables_number 1
_cell_length_a 8.9969
_cell_length_b 8.9969
_cell_length_c 8.9969
_cell_angle_alpha 32.90
_cell_angle_beta 32.90
_cell_angle_gamma 32.90
loop_
_symmetry_equiv_pos_as_xyz
'x,y,z'
loop_
_atom_site_label
_atom_site_type_symbol
_atom_site_fract_x
_atom_site_fract_y
_atom_site_fract_z
Li1 Li 0.2490 0.2490 0.2490
Li2 Li 0.7510 0.7510 0.7510
Ca1 Ca 0.5000 0.5000 0.5000
Nd1 Nd 0.0000 0.0000 0.0000
Hg1 Hg 0.1237 0.1237 0.1237
Hg2 Hg 0.3774 0.3774 0.3774
Hg3 Hg 0.6226 0.6226 0.6226
Hg4 Hg 0.8763 0.8763 0.8763
```

No. 8
Computed, not measured: an optimized crystal structure of LiCa2NdHg4 at the GGA-PBE level of DFT.

Computed properties:
The value obtained for the formation energy is -466 meV per atom. The value obtained for the total magnetization is 0.0 μB/f.u.

```
data_LiCa2NdHg4
_chemical_formula_sum 'Li1 Ca2 Nd1 Hg4'
_symmetry_space_group_name_H-M 'P 1'
_symmetry_Int_Tables_number 1
_cell_length_a 9.2582
_cell_length_b 9.2582
_cell_length_c 9.2582
_cell_angle_alpha 32.93
_cell_angle_beta 32.93
_cell_angle_gamma 32.93
loop_
_symmetry_equiv_pos_as_xyz
'x,y,z'
loop_
_atom_site_label
_atom_site_type_symbol
_atom_site_fract_x
_atom_site_fract_y
_atom_site_fract_z
Li1 Li 0.0000 0.0000 0.0000
Ca1 Ca 0.2550 0.2550 0.2550
Ca2 Ca 0.7450 0.7450 0.7450
Nd1 Nd 0.5000 0.5000 0.5000
Hg1 Hg 0.1223 0.1223 0.1223
Hg2 Hg 0.3746 0.3746 0.3746
Hg3 Hg 0.6254 0.6254 0.6254
Hg4 Hg 0.8777 0.8777 0.8777
```

No. 9
Computed, not measured: an optimized crystal structure of LiCaNdHg at the GGA-PBE level of DFT.

Computed properties:
The value obtained for the formation energy is -271 meV per atom. The value obtained for the total magnetization is 0.0 μB/f.u.

```
data_LiCaNdHg
_chemical_formula_sum 'Li1 Ca1 Nd1 Hg1'
_symmetry_space_group_name_H-M 'P 1'
_symmetry_Int_Tables_number 1
_cell_length_a 5.3709
_cell_length_b 5.3709
_cell_length_c 5.3709
_cell_angle_alpha 60.00
_cell_angle_beta 60.00
_cell_angle_gamma 60.00
loop_
_symmetry_equiv_pos_as_xyz
'x,y,z'
loop_
_atom_site_label
_atom_site_type_symbol
_atom_site_fract_x
_atom_site_fract_y
_atom_site_fract_z
Li1 Li 0.0000 0.0000 0.0000
Ca1 Ca 0.7500 0.7500 0.7500
Nd1 Nd 0.2500 0.2500 0.2500
Hg1 Hg 0.5000 0.5000 0.5000
```

No. 10
Computed, not measured: an optimized crystal structure of LiCaNiHg at the GGA-PBE level of DFT.

Computed properties:
The value obtained for the formation energy is -162 meV per atom. The value obtained for the total magnetization is 0.0 μB/f.u.

```
data_LiCaNiHg
_chemical_formula_sum 'Li1 Ca1 Ni1 Hg1'
_symmetry_space_group_name_H-M 'P 1'
_symmetry_Int_Tables_number 1
_cell_length_a 4.7268
_cell_length_b 4.7268
_cell_length_c 4.7268
_cell_angle_alpha 60.00
_cell_angle_beta 60.00
_cell_angle_gamma 60.00
loop_
_symmetry_equiv_pos_as_xyz
'x,y,z'
loop_
_atom_site_label
_atom_site_type_symbol
_atom_site_fract_x
_atom_site_fract_y
_atom_site_fract_z
Li1 Li 0.0000 0.0000 0.0000
Ca1 Ca 0.7500 0.7500 0.7500
Ni1 Ni 0.5000 0.5000 0.5000
Hg1 Hg 0.2500 0.2500 0.2500
```

No. 11
Computed, not measured: an optimized crystal structure of Li2CaHgO at the GGA-PBE level of DFT.

Computed properties:
For the formation energy from raw total energies, the calculation gives -1.154 eV per atom. The value obtained for the total magnetization is 0.0 μB/f.u.

```
data_Li2CaHgO
_chemical_formula_sum 'Li2 Ca1 Hg1 O1'
_symmetry_space_group_name_H-M 'P 1'
_symmetry_Int_Tables_number 1
_cell_length_a 4.4129
_cell_length_b 4.4129
_cell_length_c 4.5528
_cell_angle_alpha 90.00
_cell_angle_beta 90.00
_cell_angle_gamma 90.00
loop_
_symmetry_equiv_pos_as_xyz
'x,y,z'
loop_
_atom_site_label
_atom_site_type_symbol
_atom_site_fract_x
_atom_site_fract_y
_atom_site_fract_z
Li1 Li 0.0000 0.5000 0.0000
Li2 Li 0.5000 0.0000 0.0000
Ca1 Ca 0.0000 0.0000 0.5000
Hg1 Hg 0.5000 0.5000 0.5000
O1 O 0.0000 0.0000 0.0000
```

No. 12
Computed, not measured: an optimized crystal structure of LiCa2HgO at the GGA-PBE level of DFT.

Computed properties:
For the formation energy from raw total energies, the calculation gives -1.303 eV per atom. The value obtained for the total magnetization is 0.0 μB/f.u.

```
data_LiCa2HgO
_chemical_formula_sum 'Li1 Ca2 Hg1 O1'
_symmetry_space_group_name_H-M 'P 1'
_symmetry_Int_Tables_number 1
_cell_length_a 4.8236
_cell_length_b 4.8236
_cell_length_c 4.3445
_cell_angle_alpha 90.00
_cell_angle_beta 90.00
_cell_angle_gamma 90.00
loop_
_symmetry_equiv_pos_as_xyz
'x,y,z'
loop_
_atom_site_label
_atom_site_type_symbol
_atom_site_fract_x
_atom_site_fract_y
_atom_site_fract_z
Li1 Li 0.0000 0.0000 0.0000
Ca1 Ca 0.0000 0.5000 0.5000
Ca2 Ca 0.5000 0.0000 0.5000
Hg1 Hg 0.5000 0.5000 0.0000
O1 O 0.0000 0.0000 0.5000
```